[1]
LaSc2Ru, relaxed, DFT GGA-PBE; energy of formation from the pure elements = 127 meV/atom; space-group type = P4/mmm (123); offset from the most stable computed form = 454 meV per atom
1.0
4.880 0.000 0.000
0.000 4.880 0.000
0.000 0.000 3.632
Sc La Ru
2 1 1
Direct
0.000 0.000 0.000 Sc
0.500 0.500 0.000 Sc
0.500 0.000 0.500 La
0.000 0.500 0.500 Ru



[2]
CaTmPtAu, relaxed, DFT GGA-PBE; energy of formation from the pure elements = -980 meV/atom; space-group type = Amm2 (38); offset from the most stable computed form = 0 meV per atom
1.0
3.804 0.000 0.000
0.000 4.407 0.000
-1.902 0.000 5.520
Tm Pt Ca Au
1 1 1 1
Direct
0.863 0.500 0.727 Tm
0.410 0.000 0.819 Pt
0.144 0.000 0.287 Ca
0.583 0.500 0.166 Au